# 1
Computed, not measured: an optimized crystal structure of La8In2Ge at the GGA-PBE level of DFT.

a = 17.114 Å, b = 6.887 Å, c = 6.341 Å
α = 90.00°, β = 107.33°, γ = 90.00°
Space group C2/m (No. 12)
Symmetry-distinct sites (fractional):
La (0.004, 0.000, 0.242) [4 per cell]
La (0.109, 0.500, 0.017) [4 per cell]
La (0.161, 0.246, 0.583) [8 per cell]
In (0.183, 0.000, 0.093) [4 per cell]
Ge (0.000, 0.500, 0.500) [2 per cell]

- ρ: 6.6 Mg/m³
- Calculated total energy: -0.175 Ha/atom
- Formation enthalpy at 0 K: -0.2583 eV/atom

=====

# 2
Computed, not measured: an optimized crystal structure of LaInGe at the GGA-PBE level of DFT.

a = 4.564 Å, b = 10.926 Å, c = 6.259 Å
α = 90.00°, β = 90.00°, γ = 90.00°
Space group Cmcm (No. 63)
Symmetry-distinct sites (fractional):
La (0.000, 0.184, 0.250) [4 per cell]
In (0.000, 0.500, 0.000) [4 per cell]
Ge (0.000, 0.118, 0.750) [4 per cell]

- ρ: 6.9 Mg/m³
- Calculated total energy: -0.173 Ha/atom
- Formation enthalpy at 0 K: -0.6209 eV/atom

=====

# 3
Computed, not measured: an optimized crystal structure of LaInGe4 at the GGA-PBE level of DFT.

a = 8.103 Å, b = 8.103 Å, c = 8.103 Å
α = 90.00°, β = 90.00°, γ = 90.00°
Space group F-43m (No. 216)
Symmetry-distinct sites (fractional):
La (0.000, 0.000, 0.000) [4 per cell]
In (0.250, 0.250, 0.750) [4 per cell]
Ge (0.125, 0.125, 0.375) [16 per cell]

- ρ: 6.8 Mg/m³
- Calculated total energy: -0.169 Ha/atom
- Formation enthalpy at 0 K: -0.2336 eV/atom

=====

# 4
Computed, not measured: an optimized crystal structure of La12InGe5 at the GGA-PBE level of DFT.

a = 10.048 Å, b = 10.336 Å, c = 10.848 Å
α = 90.00°, β = 90.00°, γ = 90.00°
Space group Immm (No. 71)
Symmetry-distinct sites (fractional):
La (0.000, 0.198, 0.237) [8 per cell]
La (0.208, 0.500, 0.177) [8 per cell]
La (0.232, 0.322, 0.500) [8 per cell]
In (0.000, 0.000, 0.500) [2 per cell]
Ge (0.000, 0.000, 0.000) [2 per cell]
Ge (0.000, 0.371, 0.000) [4 per cell]
Ge (0.000, 0.500, 0.383) [4 per cell]

- ρ: 6.3 Mg/m³
- Calculated total energy: -0.194 Ha/atom
- Formation enthalpy at 0 K: -0.5637 eV/atom

=====

# 5
Computed, not measured: an optimized crystal structure of La5In4Ge at the GGA-PBE level of DFT.

a = 3.972 Å, b = 3.972 Å, c = 18.983 Å
α = 90.00°, β = 90.00°, γ = 90.00°
Space group P4/mmm (No. 123)
Symmetry-distinct sites (fractional):
La (0.000, 0.000, 0.000) [1 per cell]
La (0.000, 0.000, 0.208) [2 per cell]
La (0.000, 0.000, 0.418) [2 per cell]
In (0.500, 0.500, 0.103) [2 per cell]
In (0.500, 0.500, 0.311) [2 per cell]
Ge (0.500, 0.500, 0.500) [1 per cell]

- ρ: 6.8 Mg/m³
- Calculated total energy: -0.168 Ha/atom
- Formation enthalpy at 0 K: -0.5576 eV/atom

=====

# 6
Computed, not measured: an optimized crystal structure of La12In5Ge3 at the GGA-PBE level of DFT.

a = 18.334 Å, b = 18.334 Å, c = 18.334 Å
α = 90.00°, β = 90.00°, γ = 90.00°
Space group Ia-3d (No. 230)
Symmetry-distinct sites (fractional):
La (0.011, 0.078, 0.653) [96 per cell]
In (0.000, 0.000, 0.000) [16 per cell]
In (0.000, 0.250, 0.375) [24 per cell]
Ge (0.000, 0.250, 0.125) [24 per cell]

- ρ: 5.3 Mg/m³
- Calculated total energy: -0.161 Ha/atom
- Formation enthalpy at 0 K: -0.0478 eV/atom

=====

# 7
Computed, not measured: an optimized crystal structure of LaIn2Ge at the GGA-PBE level of DFT.

a = 4.509 Å, b = 4.509 Å, c = 5.024 Å
α = 90.00°, β = 90.00°, γ = 90.00°
Space group P4/mmm (No. 123)
Symmetry-distinct sites (fractional):
La (0.000, 0.000, 0.000) [1 per cell]
In (0.000, 0.500, 0.500) [2 per cell]
Ge (0.500, 0.500, 0.000) [1 per cell]

- ρ: 7.2 Mg/m³
- Calculated total energy: -0.156 Ha/atom
- Formation enthalpy at 0 K: -0.4786 eV/atom

=====

# 8
Computed, not measured: an optimized crystal structure of La3InGe2 at the GGA-PBE level of DFT.

a = 16.982 Å, b = 4.661 Å, c = 4.557 Å
α = 90.00°, β = 105.50°, γ = 90.00°
Space group C2/m (No. 12)
Symmetry-distinct sites (fractional):
La (0.000, 0.000, 0.000) [2 per cell]
La (0.174, 0.500, 0.173) [4 per cell]
In (0.000, 0.500, 0.500) [2 per cell]
Ge (0.139, 0.000, 0.638) [4 per cell]

- ρ: 6.5 Mg/m³
- Calculated total energy: -0.189 Ha/atom
- Formation enthalpy at 0 K: -0.6756 eV/atom

=====

# 9
Computed, not measured: an optimized crystal structure of LaIn3Ge at the GGA-PBE level of DFT.

a = 6.005 Å, b = 6.005 Å, c = 6.005 Å
α = 90.00°, β = 90.00°, γ = 90.00°
Space group Pm-3m (No. 221)
Symmetry-distinct sites (fractional):
La (0.000, 0.000, 0.000) [1 per cell]
In (0.000, 0.000, 0.500) [3 per cell]
Ge (0.500, 0.500, 0.500) [1 per cell]

- ρ: 4.3 Mg/m³
- Calculated total energy: -0.097 Ha/atom
- Formation enthalpy at 0 K: 0.9134 eV/atom
- Offset from the most stable computed form: 814.1 meV per atom

=====

# 10
Computed, not measured: an optimized crystal structure of La4In2Ge at the GGA-PBE level of DFT.

a = 7.343 Å, b = 11.152 Å, c = 5.614 Å
α = 90.00°, β = 90.00°, γ = 90.00°
Space group Cmmm (No. 65)
Symmetry-distinct sites (fractional):
La (0.224, 0.000, 0.000) [4 per cell]
La (0.250, 0.250, 0.500) [4 per cell]
In (0.000, 0.270, 0.000) [4 per cell]
Ge (0.000, 0.000, 0.500) [2 per cell]

- ρ: 6.2 Mg/m³
- Calculated total energy: -0.173 Ha/atom
- Formation enthalpy at 0 K: -0.4512 eV/atom

=====

# 11
Computed, not measured: an optimized crystal structure of La3In2Ge at the GGA-PBE level of DFT.

a = 5.4616 Å, b = 5.4616 Å, c = 6.7927 Å
α = 90.00°, β = 90.00°, γ = 120.00°
Space group P-3m1 (No. 164)
Symmetry-distinct sites (fractional):
La (0.0000, 0.0000, 0.0000) [1 per cell]
La (0.3333, 0.6667, 0.6286) [2 per cell]
In (0.3333, 0.6667, 0.1337) [2 per cell]
Ge (0.0000, 0.0000, 0.5000) [1 per cell]

- ρ: 6.8 Mg/m³
- Calculated total energy: -0.174 Ha/atom
- Formation enthalpy at 0 K: -0.5776 eV/atom

=====

# 12
Computed, not measured: an optimized crystal structure of La4In5Ge2 at the GGA-PBE level of DFT.

a = 7.760 Å, b = 4.567 Å, c = 8.944 Å
α = 90.00°, β = 92.71°, γ = 90.00°
Space group P2/m (No. 10)
Symmetry-distinct sites (fractional):
La (0.207, 0.000, 0.358) [2 per cell]
La (0.232, 0.000, 0.908) [2 per cell]
In (0.137, 0.500, 0.630) [2 per cell]
In (0.453, 0.500, 0.162) [2 per cell]
In (0.500, 0.500, 0.500) [1 per cell]
Ge (0.081, 0.500, 0.127) [2 per cell]

- ρ: 6.7 Mg/m³
- Calculated total energy: -0.163 Ha/atom
- Formation enthalpy at 0 K: -0.5670 eV/atom

=====

# 13
Computed, not measured: an optimized crystal structure of LaIn3Ge at the GGA-PBE level of DFT.

a = 5.346 Å, b = 5.346 Å, c = 5.346 Å
α = 90.00°, β = 90.00°, γ = 90.00°
Space group Pm-3m (No. 221)
Symmetry-distinct sites (fractional):
La (0.000, 0.000, 0.000) [1 per cell]
In (0.000, 0.500, 0.500) [3 per cell]
Ge (0.500, 0.500, 0.500) [1 per cell]

- ρ: 6.0 Mg/m³
- Calculated total energy: -0.127 Ha/atom
- Formation enthalpy at 0 K: 0.0993 eV/atom
- Offset from the most stable computed form: 0.0 meV per atom

=====

# 14
Computed, not measured: an optimized crystal structure of LaIn2Ge at the GGA-PBE level of DFT.

a = 8.450 Å, b = 8.450 Å, c = 6.250 Å
α = 90.00°, β = 90.00°, γ = 90.00°
Space group I-42d (No. 122)
Symmetry-distinct sites (fractional):
La (0.000, 0.000, 0.000) [4 per cell]
In (0.199, 0.250, 0.625) [8 per cell]
Ge (0.000, 0.000, 0.500) [4 per cell]

- ρ: 6.6 Mg/m³
- Calculated total energy: -0.150 Ha/atom
- Formation enthalpy at 0 K: -0.3203 eV/atom

=====

# 15
Computed, not measured: an optimized crystal structure of La6InGe2 at the GGA-PBE level of DFT.

a = 10.142 Å, b = 10.472 Å, c = 10.782 Å
α = 90.00°, β = 90.00°, γ = 90.00°
Space group Immm (No. 71)
Symmetry-distinct sites (fractional):
La (0.000, 0.203, 0.249) [8 per cell]
La (0.207, 0.500, 0.175) [8 per cell]
La (0.226, 0.319, 0.500) [8 per cell]
In (0.000, 0.000, 0.000) [2 per cell]
In (0.000, 0.000, 0.500) [2 per cell]
Ge (0.000, 0.361, 0.000) [4 per cell]
Ge (0.000, 0.500, 0.382) [4 per cell]

- ρ: 6.3 Mg/m³
- Calculated total energy: -0.189 Ha/atom
- Formation enthalpy at 0 K: -0.5376 eV/atom

=====

# 16
Computed, not measured: an optimized crystal structure of LaInGe2 at the GGA-PBE level of DFT.

a = 7.894 Å, b = 7.894 Å, c = 6.614 Å
α = 90.00°, β = 90.00°, γ = 90.00°
Space group I-42d (No. 122)
Symmetry-distinct sites (fractional):
La (0.000, 0.000, 0.000) [4 per cell]
In (0.000, 0.000, 0.500) [4 per cell]
Ge (0.216, 0.250, 0.625) [8 per cell]

- ρ: 6.4 Mg/m³
- Calculated total energy: -0.166 Ha/atom
- Formation enthalpy at 0 K: -0.2980 eV/atom

=====

# 17
Computed, not measured: an optimized crystal structure of La6In5Ge at the GGA-PBE level of DFT.

a = 5.566 Å, b = 7.759 Å, c = 8.825 Å
α = 90.00°, β = 108.28°, γ = 90.00°
Space group P2/m (No. 10)
Symmetry-distinct sites (fractional):
La (0.000, 0.237, 0.000) [2 per cell]
La (0.341, 0.247, 0.682) [4 per cell]
In (0.169, 0.500, 0.339) [2 per cell]
In (0.176, 0.000, 0.352) [2 per cell]
In (0.500, 0.500, 0.000) [1 per cell]
Ge (0.500, 0.000, 0.000) [1 per cell]

- ρ: 6.8 Mg/m³
- Calculated total energy: -0.166 Ha/atom
- Formation enthalpy at 0 K: -0.5372 eV/atom

=====

# 18
Computed, not measured: an optimized crystal structure of LaInGe at the GGA-PBE level of DFT.

a = 3.684 Å, b = 3.684 Å, c = 11.544 Å
α = 90.00°, β = 90.00°, γ = 90.00°
Space group I4mm (No. 107)
Symmetry-distinct sites (fractional):
La (0.000, 0.000, 0.000) [2 per cell]
In (0.000, 0.000, 0.302) [2 per cell]
Ge (0.000, 0.000, 0.682) [2 per cell]

- ρ: 6.9 Mg/m³
- Calculated total energy: -0.164 Ha/atom
- Formation enthalpy at 0 K: -0.3642 eV/atom

=====

# 19
Computed, not measured: an optimized crystal structure of LaInGe2 at the GGA-PBE level of DFT.

a = 4.721 Å, b = 4.721 Å, c = 4.271 Å
α = 90.00°, β = 90.00°, γ = 90.00°
Space group P4/mmm (No. 123)
Symmetry-distinct sites (fractional):
La (0.000, 0.000, 0.000) [1 per cell]
In (0.500, 0.500, 0.000) [1 per cell]
Ge (0.000, 0.500, 0.500) [2 per cell]

- ρ: 7.0 Mg/m³
- Calculated total energy: -0.172 Ha/atom
- Formation enthalpy at 0 K: -0.4658 eV/atom

=====

# 20
Computed, not measured: an optimized crystal structure of La4InGeN at the GGA-PBE level of DFT.

a = 6.950 Å, b = 16.932 Å, c = 6.982 Å
α = 90.00°, β = 90.00°, γ = 90.00°
Space group Cmcm (No. 63)
Symmetry-distinct sites (fractional):
La (0.000, 0.065, 0.250) [4 per cell]
La (0.000, 0.415, 0.250) [4 per cell]
La (0.250, 0.250, 0.000) [8 per cell]
In (0.000, 0.390, 0.750) [4 per cell]
Ge (0.000, 0.115, 0.750) [4 per cell]
N (0.000, 0.272, 0.250) [4 per cell]

- ρ: 6.1 Mg/m³
- Calculated total energy: -0.214 Ha/atom
- E_form (uncorrected): -0.776 eV/atom

=====

# 21
Computed, not measured: an optimized crystal structure of NaLaInGe at the GGA-PBE level of DFT.

a = 7.512 Å, b = 7.512 Å, c = 7.512 Å
α = 90.00°, β = 90.00°, γ = 90.00°
Space group F-43m (No. 216)
Symmetry-distinct sites (fractional):
Na (0.000, 0.000, 0.000) [4 per cell]
La (0.000, 0.000, 0.500) [4 per cell]
In (0.250, 0.250, 0.750) [4 per cell]
Ge (0.250, 0.250, 0.250) [4 per cell]

- ρ: 5.5 Mg/m³
- Calculated total energy: -0.136 Ha/atom
- Formation enthalpy at 0 K: -0.3074 eV/atom